Record 1
First-principles (PBE) data for crystalline Sm3BiS2 at its relaxed geometry, as listed in Alexandria via LeMat-Bulk.

a = 7.374 Å, b = 11.276 Å, c = 8.535 Å
α = 90.00°, β = 90.00°, γ = 90.00°
Space group Imma (No. 74)
Inequivalent atoms, fractional coordinates:
1 Sm 0.230 0.000 0.000
2 Sm 0.250 0.250 0.250
3 Bi 0.000 0.250 0.908
4 S 0.000 0.061 0.286

Output
Total magnetization in μB/cell: 0.0
Energy in eV per atom: -5.658
DOS(E_F) in states/eV/atom: 0.67
ΔE_f (raw) in eV per atom: -1.276

Record 2
First-principles (PBE) data for crystalline SmBiS3 at its relaxed geometry, as listed in Alexandria via LeMat-Bulk.

a = 7.381 Å, b = 7.720 Å, c = 10.484 Å
α = 90.00°, β = 115.19°, γ = 90.00°
Space group P2_1/c (No. 14)
Inequivalent atoms, fractional coordinates:
1 Sm 0.196 0.130 0.212
2 Bi 0.201 0.639 0.170
3 S 0.112 0.138 0.920
4 S 0.126 0.622 0.903
5 S 0.491 0.622 0.730

Output
Total magnetization in μB/cell: 0.0
Energy in eV per atom: -5.293
Polymorph energy (0 for the lowest one) in eV/f.u.: 0.52
ΔE_f (raw) in eV per atom: -1.097

Record 3
First-principles (PBE) data for crystalline Sm2BiS at its relaxed geometry, as listed in Alexandria via LeMat-Bulk.

a = 4.2533 Å, b = 4.2533 Å, c = 21.3033 Å
α = 90.00°, β = 90.00°, γ = 120.00°
Space group R-3m (No. 166, hexagonal axes)
Inequivalent atoms, fractional coordinates:
1 Sm 0.0000 0.0000 0.2390
2 Bi 0.0000 0.0000 0.0000
3 S 0.0000 0.0000 0.5000

Output
Total magnetization in μB/cell: 0.0
Energy in eV per atom: -5.769
Polymorph energy (0 for the lowest one) in eV/f.u.: 0.02
DOS(E_F) in states/eV/atom: 0.50
ΔE_f (raw) in eV per atom: -1.408

Record 4
First-principles (PBE) data for crystalline SmBiS3 at its relaxed geometry, as listed in Alexandria via LeMat-Bulk.

a = 4.203 Å, b = 8.865 Å, c = 7.359 Å
α = 90.00°, β = 90.00°, γ = 90.00°
Space group Pmc2_1 (No. 26)
Inequivalent atoms, fractional coordinates:
1 Sm 0.000 0.124 0.000
2 Bi 0.500 0.334 0.545
3 S 0.000 0.171 0.629
4 S 0.500 0.091 0.277
5 S 0.500 0.347 0.929

Output
Total magnetization in μB/cell: 0.0
Energy in eV per atom: -5.254
Polymorph energy (0 for the lowest one) in eV/f.u.: 0.71
ΔE_f (raw) in eV per atom: -1.057

Record 5
First-principles (PBE) data for crystalline Sm2BiS4 at its relaxed geometry, as listed in Alexandria via LeMat-Bulk.

a = 15.517 Å, b = 3.960 Å, c = 7.155 Å
α = 90.00°, β = 114.47°, γ = 90.00°
Space group C2/m (No. 12)
Inequivalent atoms, fractional coordinates:
1 Sm 0.232 0.000 0.237
2 Bi 0.000 0.500 0.500
3 S 0.136 0.500 0.340
4 S 0.147 0.000 0.808

Output
Total magnetization in μB/cell: 0.0
Energy in eV per atom: -5.665
DOS(E_F) in states/eV/atom: 0.26
ΔE_f (raw) in eV per atom: -1.403

Record 6
First-principles (PBE) data for crystalline SmBi2S4 at its relaxed geometry, as listed in Alexandria via LeMat-Bulk.

a = 4.224 Å, b = 13.043 Å, c = 13.139 Å
α = 90.00°, β = 90.00°, γ = 90.00°
Space group Cmcm (No. 63)
Inequivalent atoms, fractional coordinates:
1 Sm 0.000 0.126 0.250
2 Bi 0.000 0.375 0.065
3 S 0.000 0.000 0.000
4 S 0.000 0.275 0.623
5 S 0.000 0.484 0.250

Output
Total magnetization in μB/cell: 0.0
Energy in eV per atom: -4.954
DOS(E_F) in states/eV/atom: 0.14
ΔE_f (raw) in eV per atom: -0.813

The lowest ΔE_f (raw) belongs to which entry? Sm2BiS

Repeat the fifth record exactly.
First-principles (PBE) data for crystalline Sm2BiS4 at its relaxed geometry, as listed in Alexandria via LeMat-Bulk.

a = 15.517 Å, b = 3.960 Å, c = 7.155 Å
α = 90.00°, β = 114.47°, γ = 90.00°
Space group C2/m (No. 12)
Inequivalent atoms, fractional coordinates:
1 Sm 0.232 0.000 0.237
2 Bi 0.000 0.500 0.500
3 S 0.136 0.500 0.340
4 S 0.147 0.000 0.808

Output
Total magnetization in μB/cell: 0.0
Energy in eV per atom: -5.665
DOS(E_F) in states/eV/atom: 0.26
ΔE_f (raw) in eV per atom: -1.403

What is the formula in the first record? Sm3BiS2